SbHPd3: optimized geometry, PBEsol.

Cell and atoms, written as CIF:
```
data_SbHPd3
_space_group_name_H-M_alt 'P m -3 m'
_space_group_IT_number 221
_space_group_name_Hall '-P 4 2 3'
_cell_length_a 4.047
_cell_length_b 4.047
_cell_length_c 4.047
_cell_angle_alpha 90.00
_cell_angle_beta 90.00
_cell_angle_gamma 90.00
loop_
_atom_site_label
_atom_site_type_symbol
_atom_site_fract_x
_atom_site_fract_y
_atom_site_fract_z
Sb1 Sb 0.000 0.000 0.000
H1 H 0.500 0.500 0.500
Pd1 Pd 0.000 0.500 0.500
```

Calculated values
Calculated total energy, eV/atom: -5.4564

YBi2Cl: optimized geometry, PBEsol.

Cell and atoms, written as CIF:
```
data_YBi2Cl
_space_group_name_H-M_alt 'F m -3 m'
_space_group_IT_number 225
_space_group_name_Hall '-F 4 2 3'
_cell_length_a 7.604
_cell_length_b 7.604
_cell_length_c 7.604
_cell_angle_alpha 90.00
_cell_angle_beta 90.00
_cell_angle_gamma 90.00
loop_
_atom_site_label
_atom_site_type_symbol
_atom_site_fract_x
_atom_site_fract_y
_atom_site_fract_z
Y1 Y 0.000 0.000 0.000
Bi1 Bi 0.250 0.250 0.250
Cl1 Cl 0.000 0.000 0.500
```

Calculated values
Raw formation energy, eV per atom: -0.30
Calculated total energy, eV/atom: -4.6550

SrZn2Ni: optimized geometry, PBEsol.

Cell and atoms, written as CIF:
```
data_SrZn2Ni
_space_group_name_H-M_alt 'F m -3 m'
_space_group_IT_number 225
_space_group_name_Hall '-F 4 2 3'
_cell_length_a 6.651
_cell_length_b 6.651
_cell_length_c 6.651
_cell_angle_alpha 90.00
_cell_angle_beta 90.00
_cell_angle_gamma 90.00
loop_
_atom_site_label
_atom_site_type_symbol
_atom_site_fract_x
_atom_site_fract_y
_atom_site_fract_z
Sr1 Sr 0.000 0.000 0.000
Zn1 Zn 0.250 0.250 0.250
Ni1 Ni 0.000 0.000 0.500
```

Calculated values
Calculated total energy, eV/atom: -2.6232

Sb2AsIr: optimized geometry, PBEsol.

Cell and atoms, written as CIF:
```
data_Sb2AsIr
_space_group_name_H-M_alt 'R -3 m'
_space_group_IT_number 166
_space_group_name_Hall '-R 3 2"'
_cell_length_a 3.8313
_cell_length_b 3.8313
_cell_length_c 20.0772
_cell_angle_alpha 90.00
_cell_angle_beta 90.00
_cell_angle_gamma 120.00
loop_
_atom_site_label
_atom_site_type_symbol
_atom_site_fract_x
_atom_site_fract_y
_atom_site_fract_z
Sb1 Sb 0.0000 0.0000 0.2413
As1 As 0.0000 0.0000 0.0000
Ir1 Ir 0.0000 0.0000 0.5000
```

Calculated values
Raw formation energy, eV per atom: 0.05
Calculated total energy, eV/atom: -5.9639

ScRuCl: optimized geometry, PBEsol.

Cell and atoms, written as CIF:
```
data_ScRuCl
_space_group_name_H-M_alt 'F m m 2'
_space_group_IT_number 42
_space_group_name_Hall 'F 2 -2'
_cell_length_a 3.296
_cell_length_b 5.001
_cell_length_c 12.966
_cell_angle_alpha 90.00
_cell_angle_beta 90.00
_cell_angle_gamma 90.00
loop_
_atom_site_label
_atom_site_type_symbol
_atom_site_fract_x
_atom_site_fract_y
_atom_site_fract_z
Sc1 Sc 0.000 0.000 0.000
Ru1 Ru 0.000 0.000 0.355
Cl1 Cl 0.000 0.000 0.646
```

Calculated values
Raw formation energy, eV per atom: -0.36
Calculated total energy, eV/atom: -6.6169

Al2FeMo: optimized geometry, PBEsol.

Cell and atoms, written as CIF:
```
data_Al2FeMo
_space_group_name_H-M_alt 'I -4 m 2'
_space_group_IT_number 119
_space_group_name_Hall 'I -4 -2'
_cell_length_a 3.679
_cell_length_b 3.679
_cell_length_c 8.117
_cell_angle_alpha 90.00
_cell_angle_beta 90.00
_cell_angle_gamma 90.00
loop_
_atom_site_label
_atom_site_type_symbol
_atom_site_fract_x
_atom_site_fract_y
_atom_site_fract_z
Al1 Al 0.000 0.000 0.000
Al2 Al 0.000 0.500 0.250
Fe1 Fe 0.000 0.000 0.500
Mo1 Mo 0.000 0.500 0.750
```

Calculated values
Calculated total energy, eV/atom: -7.3179

CaRe4P: optimized geometry, PBEsol.

Cell and atoms, written as CIF:
```
data_CaRe4P
_space_group_name_H-M_alt 'F -4 3 m'
_space_group_IT_number 216
_space_group_name_Hall 'F -4 2 3'
_cell_length_a 7.413
_cell_length_b 7.413
_cell_length_c 7.413
_cell_angle_alpha 90.00
_cell_angle_beta 90.00
_cell_angle_gamma 90.00
loop_
_atom_site_label
_atom_site_type_symbol
_atom_site_fract_x
_atom_site_fract_y
_atom_site_fract_z
Ca1 Ca 0.000 0.000 0.000
Re1 Re 0.124 0.124 0.624
P1 P 0.250 0.250 0.250
```

Calculated values
Calculated total energy, eV/atom: -9.5882

Cr2HgAuI: optimized geometry, PBEsol.

Cell and atoms, written as CIF:
```
data_Cr2HgAuI
_space_group_name_H-M_alt 'P 4/m m m'
_space_group_IT_number 123
_space_group_name_Hall '-P 4 2'
_cell_length_a 5.105
_cell_length_b 5.105
_cell_length_c 6.022
_cell_angle_alpha 90.00
_cell_angle_beta 90.00
_cell_angle_gamma 90.00
loop_
_atom_site_label
_atom_site_type_symbol
_atom_site_fract_x
_atom_site_fract_y
_atom_site_fract_z
Cr1 Cr 0.000 0.500 0.000
Hg1 Hg 0.000 0.000 0.500
Au1 Au 0.500 0.500 0.500
I1 I 0.000 0.000 0.000
```

Calculated values
Raw formation energy, eV per atom: 1.48
Calculated total energy, eV/atom: -3.8667

NiMoO3: optimized geometry, PBEsol.

Cell and atoms, written as CIF:
```
data_NiMoO3
_space_group_name_H-M_alt 'P m -3 m'
_space_group_IT_number 221
_space_group_name_Hall '-P 4 2 3'
_cell_length_a 3.829
_cell_length_b 3.829
_cell_length_c 3.829
_cell_angle_alpha 90.00
_cell_angle_beta 90.00
_cell_angle_gamma 90.00
loop_
_atom_site_label
_atom_site_type_symbol
_atom_site_fract_x
_atom_site_fract_y
_atom_site_fract_z
Ni1 Ni 0.000 0.000 0.000
Mo1 Mo 0.500 0.500 0.500
O1 O 0.000 0.500 0.500
```

Calculated values
Raw formation energy, eV per atom: -0.99
Calculated total energy, eV/atom: -7.7205

NaTaMn3: optimized geometry, PBEsol.

Cell and atoms, written as CIF:
```
data_NaTaMn3
_space_group_name_H-M_alt 'P m -3 m'
_space_group_IT_number 221
_space_group_name_Hall '-P 4 2 3'
_cell_length_a 4.261
_cell_length_b 4.261
_cell_length_c 4.261
_cell_angle_alpha 90.00
_cell_angle_beta 90.00
_cell_angle_gamma 90.00
loop_
_atom_site_label
_atom_site_type_symbol
_atom_site_fract_x
_atom_site_fract_y
_atom_site_fract_z
Na1 Na 0.000 0.000 0.000
Ta1 Ta 0.500 0.500 0.500
Mn1 Mn 0.000 0.000 0.500
```

Calculated values
Calculated total energy, eV/atom: -6.6288

TlBH2Rh: optimized geometry, PBEsol.

Cell and atoms, written as CIF:
```
data_TlBH2Rh
_space_group_name_H-M_alt 'P 4/m m m'
_space_group_IT_number 123
_space_group_name_Hall '-P 4 2'
_cell_length_a 3.554
_cell_length_b 3.554
_cell_length_c 5.203
_cell_angle_alpha 90.00
_cell_angle_beta 90.00
_cell_angle_gamma 90.00
loop_
_atom_site_label
_atom_site_type_symbol
_atom_site_fract_x
_atom_site_fract_y
_atom_site_fract_z
Tl1 Tl 0.000 0.000 0.000
B1 B 0.000 0.000 0.500
H1 H 0.000 0.500 0.500
Rh1 Rh 0.500 0.500 0.000
```

Calculated values
Calculated total energy, eV/atom: -3.6197

NaBeBr2: optimized geometry, PBEsol.

Cell and atoms, written as CIF:
```
data_NaBeBr2
_space_group_name_H-M_alt 'I -4 2 d'
_space_group_IT_number 122
_space_group_name_Hall 'I -4 2bw'
_cell_length_a 5.998
_cell_length_b 5.998
_cell_length_c 12.877
_cell_angle_alpha 90.00
_cell_angle_beta 90.00
_cell_angle_gamma 90.00
loop_
_atom_site_label
_atom_site_type_symbol
_atom_site_fract_x
_atom_site_fract_y
_atom_site_fract_z
Na1 Na 0.000 0.000 0.000
Be1 Be 0.000 0.000 0.500
Br1 Br 0.172 0.250 0.625
```

Calculated values
Raw formation energy, eV per atom: -0.46
Calculated total energy, eV/atom: -2.7444

Sc2TcMo: optimized geometry, PBEsol.

Cell and atoms, written as CIF:
```
data_Sc2TcMo
_space_group_name_H-M_alt 'P 4 m m'
_space_group_IT_number 99
_space_group_name_Hall 'P 4 -2'
_cell_length_a 3.118
_cell_length_b 3.118
_cell_length_c 7.531
_cell_angle_alpha 90.00
_cell_angle_beta 90.00
_cell_angle_gamma 90.00
loop_
_atom_site_label
_atom_site_type_symbol
_atom_site_fract_x
_atom_site_fract_y
_atom_site_fract_z
Sc1 Sc 0.000 0.000 0.000
Sc2 Sc 0.500 0.500 0.343
Tc1 Tc 0.000 0.000 0.570
Mo1 Mo 0.500 0.500 0.758
```

Calculated values
Calculated total energy, eV/atom: -9.1637

Li4Ru3: optimized geometry, PBEsol.

Cell and atoms, written as CIF:
```
data_Li4Ru3
_space_group_name_H-M_alt 'P 6/m m m'
_space_group_IT_number 191
_space_group_name_Hall '-P 6 2'
_cell_length_a 4.9187
_cell_length_b 4.9187
_cell_length_c 4.8633
_cell_angle_alpha 90.00
_cell_angle_beta 90.00
_cell_angle_gamma 120.00
loop_
_atom_site_label
_atom_site_type_symbol
_atom_site_fract_x
_atom_site_fract_y
_atom_site_fract_z
Li1 Li 0.0000 0.0000 0.2418
Li2 Li 0.3333 0.6667 0.5000
Ru1 Ru 0.0000 0.5000 0.0000
```

Calculated values
Calculated total energy, eV/atom: -5.2379